(1)
Density functional theory data (PBE) for a relaxed structure of Sr4Sb2F.

Computed properties:
- Density: 4.5 g/cm³
- Space group: No. 139
- Formation energy (no corrections): -1493.6 meV/atom
- Spin magnetization: 0.66 μB per formula unit

Lattice parameters (Å, degrees): 9.721 9.721 9.721 150.17 150.17 42.69
Sites, in units of the cell vectors:
Sr 0.000 0.500 0.500
Sr 0.183 0.183 0.000
Sr 0.500 0.000 0.500
Sr 0.817 0.817 0.000
Sb 0.368 0.368 0.000
Sb 0.632 0.632 0.000
F 0.000 0.000 0.000



(2)
Density functional theory data (PBE) for a relaxed structure of RbTeAu.

Computed properties:
- Density: 6.4 g/cm³
- Space group: No. 107
- Formation energy (no corrections): -386.8 meV/atom
- Spin magnetization: 0.00 μB per formula unit

Lattice parameters (Å, degrees): 6.911 6.911 6.911 145.30 145.30 49.89
Sites, in units of the cell vectors:
Rb 0.000 0.000 0.000
Te 0.727 0.727 0.000
Au 0.256 0.256 0.000